# 1
Below is crystalline Tc2SbH2 at its relaxed geometry, with properties calculated at the PBE-GGA level.

As for the total energy: -6.1432 eV/atom.

It has space group I4/mmm (No. 139), with a = 3.210 Å, b = 3.210 Å, c = 10.731 Å, α = 90.00°, β = 90.00° and γ = 90.00°. The distinct sites, in fractional coordinates, are Tc at (0.000, 0.000, 0.150), Sb at (0.000, 0.000, 0.500) and H at (0.000, 0.500, 0.250).

# 2
Below is crystalline Zr2NbSiHg at its relaxed geometry, with properties calculated at the PBE-GGA level.

As for the total energy: -5.2630 eV/atom. The formation energy (no corrections) is 1315 meV/atom.

It has space group P4/mmm (No. 123), with a = 5.284 Å, b = 5.284 Å, c = 4.500 Å, α = 90.00°, β = 90.00° and γ = 90.00°. The distinct sites, in fractional coordinates, are Zr at (0.000, 0.500, 0.000), Nb at (0.000, 0.000, 0.500), Si at (0.500, 0.500, 0.500) and Hg at (0.500, 0.500, 0.000).

# 3
Below is crystalline TcPS2I at its relaxed geometry, with properties calculated at the PBE-GGA level.

As for the total energy: -3.4240 eV/atom. The polymorph energy (0 for the lowest one) comes out at 1.349 eV/atom. The formation energy (no corrections) is 1692 meV/atom.

It has space group P4/mmm (No. 123), with a = 5.000 Å, b = 5.000 Å, c = 5.213 Å, α = 90.00°, β = 90.00° and γ = 90.00°. The distinct sites, in fractional coordinates, are Tc at (0.000, 0.000, 0.000), P at (0.500, 0.500, 0.000), S at (0.000, 0.500, 0.500) and I at (0.500, 0.500, 0.500).

# 4
Below is crystalline LaPr4Sc2 at its relaxed geometry, with properties calculated at the PBE-GGA level.

As for the total energy: -4.5814 eV/atom. The polymorph energy (0 for the lowest one) comes out at 0.425 eV/atom. The energy of formation from the pure elements is 0.663 eV/atom.

It has space group I4/mmm (No. 139), with a = 5.776 Å, b = 5.776 Å, c = 15.881 Å, α = 90.00°, β = 90.00° and γ = 90.00°. The distinct sites, in fractional coordinates, are La at (0.000, 0.000, 0.000), Pr at (0.000, 0.000, 0.194), Pr at (0.000, 0.500, 0.000) and Sc at (0.000, 0.000, 0.400).

# 5
Below is crystalline CsPdO2 at its relaxed geometry, with properties calculated at the PBE-GGA level.

As for the total energy: -4.5628 eV/atom. The formation energy (no corrections) is -572 meV/atom.

It has space group I-42d (No. 122), with a = 5.818 Å, b = 5.818 Å, c = 10.220 Å, α = 90.00°, β = 90.00° and γ = 90.00°. The distinct sites, in fractional coordinates, are Cs at (0.000, 0.000, 0.000), Pd at (0.000, 0.000, 0.500) and O at (0.096, 0.250, 0.625).

# 6
Below is crystalline PmLu2In at its relaxed geometry, with properties calculated at the PBE-GGA level.

As for the total energy: -4.3851 eV/atom. The polymorph energy (0 for the lowest one) comes out at 0.000 eV/atom. The energy of formation from the pure elements is -0.252 eV/atom.

It has space group P4/mmm (No. 123), with a = 4.836 Å, b = 4.836 Å, c = 4.801 Å, α = 90.00°, β = 90.00° and γ = 90.00°. The distinct sites, in fractional coordinates, are Pm at (0.000, 0.000, 0.000), Lu at (0.000, 0.500, 0.500) and In at (0.500, 0.500, 0.000).

# 7
Below is crystalline LuCuHgPt at its relaxed geometry, with properties calculated at the PBE-GGA level.

As for the total energy: -4.2444 eV/atom. The energy of formation from the pure elements is -0.504 eV/atom.

It has space group F-43m (No. 216), with a = 6.667 Å, b = 6.667 Å, c = 6.667 Å, α = 90.00°, β = 90.00° and γ = 90.00°. The distinct sites, in fractional coordinates, are Lu at (0.000, 0.000, 0.000), Cu at (0.250, 0.250, 0.250), Hg at (0.000, 0.000, 0.500) and Pt at (0.250, 0.250, 0.750).

# 8
Below is crystalline SmIn2Ag at its relaxed geometry, with properties calculated at the PBE-GGA level.

As for the total energy: -3.6612 eV/atom. The energy of formation from the pure elements is -0.399 eV/atom.

It has space group I4/mmm (No. 139), with a = 4.767 Å, b = 4.767 Å, c = 17.033 Å, α = 90.00°, β = 90.00° and γ = 90.00°. The distinct sites, in fractional coordinates, are Sm at (0.000, 0.000, 0.131), In at (0.000, 0.000, 0.355), In at (0.000, 0.500, 0.000) and Ag at (0.000, 0.500, 0.250).